(1)
Entry from Alexandria via LeMat-Bulk: an optimized crystal structure of Nd19Dy4Y6 (GGA-PBE).

It has space group I23 (No. 197), with a = 12.713 Å, b = 12.713 Å, c = 12.713 Å, α = 90.00°, β = 90.00° and γ = 90.00°. The asymmetric unit holds Nd at (0.000, 0.000, 0.000), Nd at (0.000, 0.000, 0.257), Nd at (0.062, 0.282, 0.742), Dy at (0.181, 0.181, 0.181) and Y at (0.000, 0.126, 0.500).

For the total energy, the calculation gives -4.73 eV/atom. The value obtained for the calculated volume is 35.43 Å³/atom. The value obtained for the formation energy is 361 meV/atom.

(2)
Entry from Alexandria via LeMat-Bulk: an optimized crystal structure of NdDy12Y7 (GGA-PBE).

It has space group R-3 (No. 148, hexagonal axes), with a = 12.0105 Å, b = 12.0105 Å, c = 15.9594 Å, α = 90.00°, β = 90.00° and γ = 120.00°. The asymmetric unit holds Nd at (0.0000, 0.0000, 0.0000), Dy at (0.0230, 0.5728, 0.2188), Dy at (0.0534, 0.8637, 0.2937), Y at (0.0000, 0.0000, 0.5000) and Y at (0.0497, 0.4628, 0.5838).

As for the energy relative to the lowest polymorph listed for this composition: 0 meV per atom. For the total energy, the calculation gives -5.01 eV/atom. The value obtained for the calculated volume is 33.23 Å³/atom. The value obtained for the formation energy is 248 meV/atom.